<a>
Material: SmEr4Th
Method: DFT, PBE-GGA
State: optimized geometry

a = 6.5295 Å, b = 6.5295 Å, c = 6.5295 Å
α = 60.00°, β = 60.00°, γ = 60.00°
Atoms (fractional coordinates):
1 Sm 0.0000 0.0000 0.0000
2 Er 0.3754 0.3754 0.3754
3 Er 0.3754 0.3754 0.8737
4 Er 0.3754 0.8737 0.3754
5 Er 0.8737 0.3754 0.3754
6 Th 0.7500 0.7500 0.7500

- SG = F-43m, No. 216
- DOS(E_F) (states/eV/atom) = 2.365

<b>
Material: SmEr4Th
Method: DFT, PBE-GGA
State: optimized geometry

a = 11.7168 Å, b = 3.5524 Å, c = 10.0093 Å
α = 90.00°, β = 115.39°, γ = 90.00°
Atoms (fractional coordinates):
1 Sm 0.0000 0.0000 0.0000
2 Sm 0.5000 0.5000 0.0000
3 Er 0.1667 0.5000 0.3380
4 Er 0.1670 0.5000 0.8285
5 Er 0.3330 0.0000 0.1715
6 Er 0.3333 0.0000 0.6620
7 Er 0.6667 0.0000 0.3380
8 Er 0.6670 0.0000 0.8285
9 Er 0.8330 0.5000 0.1715
10 Er 0.8333 0.5000 0.6620
11 Th 0.0000 0.0000 0.5000
12 Th 0.5000 0.5000 0.5000

- SG = C2/m, No. 12
- DOS(E_F) (states/eV/atom) = 1.385

Most stable: <b> (next structure +303 meV/atom)

<a>
Material: Sm5Er4Th
Method: DFT, PBE-GGA
State: optimized geometry

a = 8.6579 Å, b = 8.6579 Å, c = 11.4670 Å
α = 108.26°, β = 108.26°, γ = 23.54°
Atoms (fractional coordinates):
1 Sm 0.0000 0.0000 0.0000
2 Sm 0.2962 0.2962 0.3871
3 Sm 0.3100 0.3100 0.9192
4 Sm 0.6900 0.6900 0.0808
5 Sm 0.7038 0.7038 0.6129
6 Er 0.1050 0.1050 0.7984
7 Er 0.4180 0.4180 0.7039
8 Er 0.5820 0.5820 0.2961
9 Er 0.8950 0.8950 0.2016
10 Th 0.0000 0.0000 0.5000

- SG = C2/m, No. 12
- DOS(E_F) (states/eV/atom) = 1.470

<b>
Material: Sm5Er4Th
Method: DFT, PBE-GGA
State: optimized geometry

a = 9.2179 Å, b = 9.2179 Å, c = 10.4946 Å
α = 96.60°, β = 96.60°, γ = 22.28°
Atoms (fractional coordinates):
1 Sm 0.0000 0.0000 0.0000
2 Sm 0.3105 0.3105 0.9051
3 Sm 0.3606 0.3606 0.2768
4 Sm 0.6394 0.6394 0.7232
5 Sm 0.6895 0.6895 0.0949
6 Er 0.1812 0.1812 0.4150
7 Er 0.4524 0.4524 0.7394
8 Er 0.5476 0.5476 0.2606
9 Er 0.8188 0.8188 0.5850
10 Th 0.0000 0.0000 0.5000

- SG = C2/m, No. 12
- DOS(E_F) (states/eV/atom) = 1.509

Most stable: <a> (next structure +118 meV/atom)

<a>
Material: Sm7Er3Th
Method: DFT, PBE-GGA
State: optimized geometry

a = 9.9482 Å, b = 9.9482 Å, c = 11.3356 Å
α = 90.31°, β = 90.31°, γ = 138.86°
Atoms (fractional coordinates):
1 Sm 0.0867 0.4100 0.4693
2 Sm 0.0902 0.4135 0.0305
3 Sm 0.1631 0.3389 0.7498
4 Sm 0.2484 0.2484 0.2497
5 Sm 0.3389 0.1631 0.7498
6 Sm 0.4100 0.0867 0.4693
7 Sm 0.4135 0.0902 0.0305
8 Sm 0.5865 0.9098 0.9695
9 Sm 0.5900 0.9133 0.5307
10 Sm 0.6611 0.8369 0.2502
11 Sm 0.7516 0.7516 0.7503
12 Sm 0.8369 0.6611 0.2502
13 Sm 0.9098 0.5865 0.9695
14 Sm 0.9133 0.5900 0.5307
15 Er 0.0000 0.0000 0.0000
16 Er 0.2495 0.7500 0.2499
17 Er 0.2500 0.7505 0.7501
18 Er 0.5000 0.5000 0.5000
19 Er 0.7500 0.2495 0.2499
20 Er 0.7505 0.2500 0.7501
21 Th 0.0000 0.0000 0.5000
22 Th 0.5000 0.5000 0.0000

- SG = C2/m, No. 12
- DOS(E_F) (states/eV/atom) = 1.748

<b>
Material: Sm7Er3Th
Method: DFT, PBE-GGA
State: optimized geometry

a = 7.1489 Å, b = 7.1489 Å, c = 8.6481 Å
α = 90.00°, β = 90.00°, γ = 120.00°
Atoms (fractional coordinates):
1 Sm 0.0000 0.0000 0.0000
2 Sm 0.1655 0.3309 0.3385
3 Sm 0.1655 0.8345 0.3385
4 Sm 0.5032 0.0063 0.0017
5 Sm 0.5032 0.4968 0.0017
6 Sm 0.6691 0.8345 0.3385
7 Sm 0.9937 0.4968 0.0017
8 Er 0.3376 0.1688 0.6649
9 Er 0.8312 0.1688 0.6649
10 Er 0.8312 0.6624 0.6649
11 Th 0.6667 0.3333 0.3357

- SG = P3m1, No. 156
- DOS(E_F) (states/eV/atom) = 1.641

Most stable: <a> (next structure +46 meV/atom)

<a>
Material: SmErTh
Method: DFT, PBE-GGA
State: optimized geometry

a = 6.7905 Å, b = 6.8182 Å, c = 10.8598 Å
α = 71.79°, β = 81.22°, γ = 61.02°
Atoms (fractional coordinates):
1 Sm 0.2500 0.2500 0.0000
2 Sm 0.2500 0.7496 0.0007
3 Sm 0.7500 0.2504 0.9993
4 Sm 0.7500 0.7500 0.0000
5 Er 0.0009 0.6387 0.7224
6 Er 0.5002 0.1382 0.7224
7 Er 0.4998 0.8618 0.2776
8 Er 0.9991 0.3613 0.2776
9 Th 0.2493 0.9685 0.5642
10 Th 0.2507 0.5317 0.4354
11 Th 0.7493 0.4683 0.5646
12 Th 0.7507 0.0315 0.4358

- SG = P-1, No. 2
- DOS(E_F) (states/eV/atom) = 1.562

<b>
Material: SmErTh
Method: DFT, PBE-GGA
State: optimized geometry

a = 3.4970 Å, b = 3.4970 Å, c = 18.5504 Å
α = 90.00°, β = 90.00°, γ = 120.00°
Atoms (fractional coordinates):
1 Sm 0.3333 0.6667 0.0000
2 Sm 0.6667 0.3333 0.5000
3 Er 0.0000 0.0000 0.1568
4 Er 0.0000 0.0000 0.6568
5 Th 0.3333 0.6667 0.8151
6 Th 0.6667 0.3333 0.3151

- SG = P6_3mc, No. 186
- DOS(E_F) (states/eV/atom) = 1.521

Most stable: <b> (next structure +235 meV/atom)